Entry 1:
The following is a PBE+U calculation of crystalline MnGaBrO2 at its relaxed geometry, from Alexandria.

It has space group P2_1/m (No. 11), with a = 6.4574 Å, b = 4.0040 Å, c = 7.1144 Å, α = 90.00°, β = 91.04° and γ = 90.00°. The asymmetric unit holds Mn at (0.1680, 0.2500, 0.4130), Ga at (0.0535, 0.2500, 0.8553), Br at (0.4113, 0.2500, 0.7396), O at (0.0099, 0.2500, 0.1187) and O at (0.0896, 0.7500, 0.3780).

The energy relative to the lowest polymorph listed for this composition is 0.0 meV/atom. The calculation puts the magnetic moment at 5.00 μB per formula unit.

---

Entry 2:
The following is a PBE+U calculation of crystalline MnGaBrO2 at its relaxed geometry, from Alexandria.

It has space group P4/mmm (No. 123), with a = 3.9065 Å, b = 3.9065 Å, c = 5.8150 Å, α = 90.00°, β = 90.00° and γ = 90.00°. The asymmetric unit holds Mn at (0.0000, 0.0000, 0.0000), Ga at (0.5000, 0.5000, 0.5000), Br at (0.0000, 0.0000, 0.5000) and O at (0.0000, 0.5000, 0.0000).

The energy relative to the lowest polymorph listed for this composition is 861.2 meV/atom. The calculation puts the magnetic moment at 3.27 μB per formula unit.

---

> Number 1 is which compound?

MnGaBrO2